(1)
DFT (PBE) results for a relaxed HfInSe2N crystal.

The space group is P4/mmm (No. 123) and the conventional cell measures 5.283, 5.283 and 3.960 Å, with angles of 90.00, 90.00 and 90.00 degrees. The distinct sites, in fractional coordinates, are Hf at (0.000, 0.000, 0.000), In at (0.500, 0.500, 0.500), Se at (0.000, 0.500, 0.500) and N at (0.500, 0.500, 0.000).

The value obtained for the density of states at the Fermi level is 3.5 states/eV/f.u.



(2)
DFT (PBE) results for a relaxed HfInSe2N crystal.

The space group is P4/mmm (No. 123) and the conventional cell measures 5.334, 5.334 and 4.113 Å, with angles of 90.00, 90.00 and 90.00 degrees. The distinct sites, in fractional coordinates, are Hf at (0.000, 0.000, 0.000), In at (0.500, 0.500, 0.500), Se at (0.000, 0.500, 0.000) and N at (0.000, 0.000, 0.500).

The value obtained for the density of states at the Fermi level is 3.5 states/eV/f.u.



(2) comes first in stability; the runner-up is 1.026 eV/atom higher.